# 1
## Nd6YTm5 (PBE)

Data for a relaxed structure of Nd6YTm5.

```
Nd6YTm5
1.0
2.5594 -7.6740 0.0000
2.5594 7.6740 0.0000
0.0000 0.0000 9.9999
Nd Y Tm
6 1 5
direct
0.0000 0.0000 0.2485
0.0000 0.0000 0.7515
0.3330 0.6670 0.2490
0.3330 0.6670 0.7510
0.6670 0.3330 0.2490
0.6670 0.3330 0.7510
0.5000 0.5000 0.5000
0.1666 0.8334 0.0000
0.1675 0.8325 0.5000
0.5000 0.5000 0.0000
0.8334 0.1666 0.0000
0.8325 0.1675 0.5000
```

Results
Calculated formation energy: 0.023 eV per atom
Space group: Cmmm, No. 65

# 2
## MnSb2Cl (PBE)

Data for a relaxed structure of MnSb2Cl.

```
MnSb2Cl
1.0
3.7817 -3.7954 0.0000
3.7817 3.7954 0.0000
0.0000 0.0000 3.1479
Mn Sb Cl
1 2 1
direct
0.0000 0.0000 0.0000
0.0000 0.5000 0.5000
0.5000 0.0000 0.5000
0.5000 0.5000 0.0000
```

Results
Formation energy from raw total energies: 0.2368 eV per atom
Space group: Cmmm, No. 65
Energy relative to the lowest polymorph listed for this composition: 0.437 eV/atom

# 3
## LiCeSbRu (PBE)

Data for a relaxed structure of LiCeSbRu.

```
LiCeSbRu
1.0
0.0000 3.3548 3.3548
3.3548 0.0000 3.3548
3.3548 3.3548 0.0000
Li Ce Sb Ru
1 1 1 1
direct
0.0000 0.0000 0.0000
0.2500 0.2500 0.2500
0.7500 0.7500 0.7500
0.5000 0.5000 0.5000
```

Results
Formation energy from raw total energies: -0.5248 eV per atom
Space group: F-43m, No. 216

# 4
## BaAs2RhSe (PBE)

Data for a relaxed structure of BaAs2RhSe.

```
BaAs2RhSe
1.0
4.7855 0.0000 0.0000
0.0000 4.7855 0.0000
0.0000 0.0000 5.6472
Ba As Rh Se
1 2 1 1
direct
0.0000 0.0000 0.0000
0.0000 0.5000 0.5000
0.5000 0.0000 0.5000
0.5000 0.5000 0.5000
0.5000 0.5000 0.0000
```

Results
Formation energy from raw total energies: -0.4933 eV per atom
Space group: P4/mmm, No. 123
Energy relative to the lowest polymorph listed for this composition: 0.000 eV/atom

What did the fourth record say?
## BaAs2RhSe (PBE)

Data for a relaxed structure of BaAs2RhSe.

```
BaAs2RhSe
1.0
4.7855 0.0000 0.0000
0.0000 4.7855 0.0000
0.0000 0.0000 5.6472
Ba As Rh Se
1 2 1 1
direct
0.0000 0.0000 0.0000
0.0000 0.5000 0.5000
0.5000 0.0000 0.5000
0.5000 0.5000 0.5000
0.5000 0.5000 0.0000
```

Results
Formation energy from raw total energies: -0.4933 eV per atom
Space group: P4/mmm, No. 123
Energy relative to the lowest polymorph listed for this composition: 0.000 eV/atom